Material: Sm2Dy4Te9
Method: DFT, PBE-GGA
State: optimized geometry

Cell: 7.747 7.747 21.195 Å, 90.01 90.01 59.99°
Atoms (fractional coordinates):
1 Sm 0.000 0.000 0.155
2 Sm 0.000 0.000 0.345
3 Sm 0.000 0.000 0.655
4 Sm 0.000 0.000 0.845
5 Dy 0.333 0.333 0.491
6 Dy 0.333 0.333 0.991
7 Dy 0.333 0.334 0.677
8 Dy 0.334 0.333 0.177
9 Dy 0.666 0.667 0.823
10 Dy 0.667 0.666 0.323
11 Dy 0.667 0.667 0.009
12 Dy 0.667 0.667 0.509
13 Te 0.000 0.317 0.750
14 Te 0.000 0.683 0.250
15 Te 0.019 0.341 0.083
16 Te 0.019 0.640 0.583
17 Te 0.317 0.000 0.250
18 Te 0.317 0.683 0.750
19 Te 0.341 0.019 0.583
20 Te 0.341 0.640 0.083
21 Te 0.360 0.659 0.417
22 Te 0.360 0.981 0.917
23 Te 0.640 0.019 0.083
24 Te 0.640 0.341 0.583
25 Te 0.659 0.360 0.917
26 Te 0.659 0.981 0.417
27 Te 0.683 0.000 0.750
28 Te 0.683 0.317 0.250
29 Te 0.981 0.360 0.417
30 Te 0.981 0.659 0.917

Results
**E_form (uncorrected)**: -1.3661 eV per atom
**E_tot**: -153.23 eV per cell
**Space-group type**: No. 15